Record 1
The following is a DFT calculation (GGA-PBE) of an optimized crystal structure of PrEuCoCu.

Unit cell a=5.0004 b=5.0004 c=5.0004 alpha=60.00 beta=60.00 gamma=60.00
Atoms (fractional coordinates):
Eu: 0.0000 0.0000 0.0000
Pr: 0.5000 0.5000 0.5000
Co: 0.2500 0.2500 0.2500
Cu: 0.7500 0.7500 0.7500

Output
- space group = F-43m (216)
- DFT formation energy (eV per atom) = 0.0478
- final energy (eV per cell) = -26.06
- Fermi-level density of states (states/eV/f.u.) = 6.4

***

Record 2
The following is a DFT calculation (GGA-PBE) of an optimized crystal structure of TbEuCoCu.

Unit cell a=4.8968 b=4.8968 c=4.8968 alpha=60.00 beta=60.00 gamma=60.00
Atoms (fractional coordinates):
Eu: 0.5000 0.5000 0.5000
Co: 0.7500 0.7500 0.7500
Tb: 0.0000 0.0000 0.0000
Cu: 0.2500 0.2500 0.2500

Output
- space group = F-43m (216)
- DFT formation energy (eV per atom) = 0.0042
- final energy (eV per cell) = -26.09
- Fermi-level density of states (states/eV/f.u.) = 5.7

***

DFT formation energy of number 1 (PrEuCoCu)?
0.0478 eV per atom

***

What did the second record say?
The following is a DFT calculation (GGA-PBE) of an optimized crystal structure of TbEuCoCu.

Unit cell a=4.8968 b=4.8968 c=4.8968 alpha=60.00 beta=60.00 gamma=60.00
Atoms (fractional coordinates):
Eu: 0.5000 0.5000 0.5000
Co: 0.7500 0.7500 0.7500
Tb: 0.0000 0.0000 0.0000
Cu: 0.2500 0.2500 0.2500

Output
- space group = F-43m (216)
- DFT formation energy (eV per atom) = 0.0042
- final energy (eV per cell) = -26.09
- Fermi-level density of states (states/eV/f.u.) = 5.7

***

Repeat the first record exactly.
The following is a DFT calculation (GGA-PBE) of an optimized crystal structure of PrEuCoCu.

Unit cell a=5.0004 b=5.0004 c=5.0004 alpha=60.00 beta=60.00 gamma=60.00
Atoms (fractional coordinates):
Eu: 0.0000 0.0000 0.0000
Pr: 0.5000 0.5000 0.5000
Co: 0.2500 0.2500 0.2500
Cu: 0.7500 0.7500 0.7500

Output
- space group = F-43m (216)
- DFT formation energy (eV per atom) = 0.0478
- final energy (eV per cell) = -26.06
- Fermi-level density of states (states/eV/f.u.) = 6.4

***

Copy entry 1 word for word.
The following is a DFT calculation (GGA-PBE) of an optimized crystal structure of PrEuCoCu.

Unit cell a=5.0004 b=5.0004 c=5.0004 alpha=60.00 beta=60.00 gamma=60.00
Atoms (fractional coordinates):
Eu: 0.0000 0.0000 0.0000
Pr: 0.5000 0.5000 0.5000
Co: 0.2500 0.2500 0.2500
Cu: 0.7500 0.7500 0.7500

Output
- space group = F-43m (216)
- DFT formation energy (eV per atom) = 0.0478
- final energy (eV per cell) = -26.06
- Fermi-level density of states (states/eV/f.u.) = 6.4